1.
A geometry-optimized CsSiHg structure, computed with PBE.

Summary:
VASP energy	-4.741	eV per cell

abc: 5.4011 5.4011 5.4011
angles: 60.00 60.00 60.00
Last column: nearest neighbours and their distance in Å.
Element x y z (fractional)
Cs 0.2500 0.2500 0.2500  4 Si 3.31
Hg 0.7500 0.7500 0.7500  4 Si 3.31
Si 0.0000 0.0000 0.0000  4 Cs 3.31, 4 Hg 3.31

***

2.
A geometry-optimized YCo2Ni structure, computed with PBE.

Summary:
VASP energy	-81.570	eV per cell

abc: 8.7020 8.7020 8.7020
angles: 32.93 32.93 32.93
Last column: nearest neighbours and their distance in Å.
Element x y z (fractional)
Co 0.5806 0.5806 0.0805  3 Ni 2.44-2.56, 4 Co 2.47
Co 0.9195 0.4194 0.4194  3 Ni 2.44-2.56, 4 Co 2.47
Co 0.4194 0.9195 0.4194  3 Ni 2.44-2.56, 4 Co 2.47
Co 0.5806 0.0805 0.5806  3 Ni 2.44-2.56, 4 Co 2.47
Co 0.0805 0.5806 0.5806  3 Ni 2.44-2.56, 4 Co 2.47
Co 0.4194 0.4194 0.9195  3 Ni 2.44-2.56, 4 Co 2.47
Ni 0.3332 0.3332 0.3332  6 Co 2.44-2.45
Ni 0.5000 0.5000 0.5000  6 Co 2.56
Ni 0.6668 0.6668 0.6668  6 Co 2.44-2.45
Y 0.0000 0.0000 0.0000  6 Ni 2.85, 12 Co 3.17
Y 0.1387 0.1387 0.1387  9 Co 2.85-3.15, 3 Ni 2.93, 3 Y 3.16
Y 0.8613 0.8613 0.8613  9 Co 2.85-3.15, 3 Ni 2.93, 3 Y 3.16

***

3.
A geometry-optimized NdHfSi2 structure, computed with PBE.

Summary:
VASP energy	-56.886	eV per cell

abc: 3.8183 7.7096 5.5188
angles: 90.00 90.00 90.00
Last column: nearest neighbours and their distance in Å.
Element x y z (fractional)
Hf 0.0000 0.4351 0.3808  7 Si 2.73-3.01
Hf 0.5000 0.5649 0.8808  7 Si 2.73-3.01
Nd 0.0000 0.9265 0.1211  7 Si 2.97-3.30
Nd 0.5000 0.0735 0.6211  7 Si 2.97-3.30
Si 0.5000 0.2370 0.1346  2 Si 2.49
Si 0.5000 0.6877 0.3635  2 Si 2.49, 2 Hf 2.73
Si 0.0000 0.7630 0.6346  2 Si 2.49
Si 0.0000 0.3123 0.8635  2 Si 2.49, 2 Hf 2.73

***

4.
A geometry-optimized ErNpPb structure, computed with PBE.

Summary:
VASP energy	-19.947	eV per cell

abc: 5.2165 5.2165 5.2165
angles: 60.00 60.00 60.00
Last column: nearest neighbours and their distance in Å.
Element x y z (fractional)
Er 0.5000 0.5000 0.5000  4 Pb 3.19
Np 0.0000 0.0000 0.0000  4 Pb 3.19
Pb 0.2500 0.2500 0.2500  4 Er 3.19, 4 Np 3.19

***

5.
A geometry-optimized Zn2Hg structure, computed with PBE.

Summary:
VASP energy	-19.954	eV per cell

abc: 12.7781 7.3908 5.0913
angles: 90.00 90.00 65.36
Last column: nearest neighbours and their distance in Å.
Element x y z (fractional)
Hg 0.7432 0.2977 0.0000  6 Zn 2.82-2.91
Hg 0.3392 0.3397 0.0000  6 Zn 2.85-3.00, 2 Hg 3.12
Hg 0.8275 0.8001 0.0000  8 Zn 2.77-3.01
Hg 0.0218 0.9790 0.0000  8 Zn 2.73-2.99
Hg 0.8553 0.0217 0.5000  6 Zn 2.85-3.00, 2 Hg 3.13
Hg 0.4512 0.0632 0.5000  6 Zn 2.81-2.91
Hg 0.1727 0.3818 0.5000  8 Zn 2.73-2.98
Hg 0.3671 0.5607 0.5000  8 Zn 2.77-3.01
Zn 0.5871 0.1029 0.0000  4 Zn 2.66-2.85, 3 Hg 2.91-2.95
Zn 0.1755 0.1690 0.0000  6 Zn 2.74-2.90, 4 Hg 2.85-2.98
Zn 0.9392 0.3885 0.0000  6 Zn 2.74-2.97, 3 Hg 2.76-2.85
Zn 0.5010 0.5161 0.0000  6 Zn 2.68-2.93, 2 Hg 2.83-2.87
Zn 0.0833 0.5776 0.0000  5 Hg 2.73-3.00, 4 Zn 2.74-3.06
Zn 0.6338 0.7164 0.0000  7 Zn 2.64-2.93, 2 Hg 2.79-2.82
Zn 0.2601 0.7622 0.0000  3 Zn 2.60-2.85, 2 Hg 2.79-2.85
Zn 0.4081 0.9197 0.0000  4 Zn 2.60-2.77, 3 Hg 2.85-2.90
Zn 0.0186 0.1927 0.5000  6 Zn 2.74-2.89, 4 Hg 2.85-2.99
Zn 0.6073 0.2577 0.5000  4 Zn 2.67-2.85, 3 Hg 2.91-2.95
Zn 0.7862 0.4421 0.5000  4 Zn 2.60-2.77, 3 Hg 2.85-2.90
Zn 0.9344 0.5995 0.5000  3 Zn 2.60-2.85, 2 Hg 2.79-2.85
Zn 0.5605 0.6445 0.5000  7 Zn 2.64-2.93, 2 Hg 2.79-2.81
Zn 0.1114 0.7831 0.5000  2 Zn 2.73-2.75, 5 Hg 2.73-3.00
Zn 0.6935 0.8451 0.5000  6 Zn 2.68-2.93, 2 Hg 2.83-2.87
Zn 0.2552 0.9722 0.5000  6 Zn 2.73-2.97, 3 Hg 2.76-2.85

***

6.
A geometry-optimized Bi2Pd structure, computed with PBE.

Summary:
VASP energy	-23.000	eV per cell

abc: 6.2632 6.2632 6.2632
angles: 60.00 60.00 60.00
Last column: nearest neighbours and their distance in Å.
Element x y z (fractional)
Bi 0.6250 0.6250 0.1250  6 Bi 3.13
Bi 0.6250 0.1250 0.6250  6 Bi 3.13
Bi 0.1250 0.6250 0.6250  6 Bi 3.13
Bi 0.6250 0.6250 0.6250  6 Bi 3.13
Pd 0.0000 0.0000 0.0000  12 Bi 3.67, 4 Pd 3.84
Pd 0.2500 0.2500 0.2500  12 Bi 3.67, 4 Pd 3.84